No. 1
DFT (PBE) results for a geometry-optimized LaTa2Cu structure.

```
LaTa2Cu
1.0
-4.749 -2.114 -2.422
5.114 -1.300 -2.246
0.157 -2.267 1.670
Ta La Cu
2 1 1
Cartesian
0.000 0.000 0.000
0.183 -1.707 -2.334
2.636 -1.783 -0.288
-2.296 -2.190 -0.376
```

Output
The formation energy comes out at 0.700 eV per atom. As for the electronic total energy: -29.930 eV/cell.


No. 2
DFT (PBE) results for a geometry-optimized BaZn2Ge2 structure.

```
BaZn2Ge2
1.0
4.582 0.000 0.000
0.000 4.582 0.000
-2.291 -2.291 5.323
Ge Zn Ba
2 2 1
Cartesian
0.000 0.000 4.009
2.291 2.291 1.314
0.000 2.291 2.662
2.291 0.000 2.662
0.000 0.000 0.000
```

Output
The formation energy comes out at -0.381 eV per atom. As for the electronic total energy: -15.610 eV/cell.


No. 3
DFT (PBE) results for a geometry-optimized LiCePb structure.

```
LiCePb
1.0
3.691 0.000 0.000
0.000 4.954 0.000
0.000 -2.477 4.290
Pb Li Ce
1 1 1
Cartesian
3.073 2.477 1.430
3.079 0.000 0.000
1.230 0.000 2.860
```

Output
The formation energy comes out at -0.330 eV per atom. As for the electronic total energy: -12.545 eV/cell.


No. 4
DFT (PBE) results for a geometry-optimized BaSr3Pt structure.

```
BaSr3Pt
1.0
7.169 0.000 0.000
0.000 7.587 0.002
0.000 0.000 8.636
Ba Pt Sr
2 2 6
Cartesian
6.571 0.076 1.732
2.986 2.600 6.054
1.260 5.149 6.053
4.845 5.114 1.735
3.055 6.322 8.219
3.055 6.322 3.888
6.639 3.941 3.901
6.694 7.561 6.052
6.639 3.942 8.205
3.109 2.702 1.736
```

Output
The formation energy comes out at -0.448 eV per atom. As for the electronic total energy: -30.502 eV/cell.


Which formula does entry 3 have? LiCePb